An optimized crystal structure of NiHg2RhF. Source: Alexandria via LeMat-Bulk, functional PBE+U.

As for the density of states at the Fermi level: 3.81 states/eV/cell. The calculation puts the calculated total energy at -1.917 eV per atom.

The space group is P4/mmm (No. 123) and the conventional cell measures 4.935, 4.935 and 4.472 Å, with angles of 90.00, 90.00 and 90.00 degrees. The inequivalent atoms are Ni at (0.000, 0.000, 0.000), Hg at (0.000, 0.500, 0.000), Rh at (0.000, 0.000, 0.500) and F at (0.500, 0.500, 0.500).